Crystalline LaH3Ir at its relaxed geometry, computed with PBE.

Computed properties:
**Total magnetization**: 0.0 μB/f.u.
**Total DFT energy (no corrections)**: -5.33 eV per atom
**Density of states at the Fermi level**: 2.73 states/eV per cell
**Crystal system**: triclinic
**Calculated density**: 9.25 g cm⁻³

extended XYZ file:
```
10
Lattice="-2.595 -2.781 -5.017 0.115 -4.077 2.130 -4.381 -0.014 0.405" Properties=species:S:1:pos:R:3 pbc="T T T"
H -6.550 -4.792 -3.320
H -3.331 -3.090 -0.254
H -3.299 -0.915 -1.388
H -5.630 -3.825 -1.419
H -3.919 -5.410 -2.135
H -5.692 -1.893 -2.520
Ir -3.279 -1.458 0.177
Ir -5.667 -5.432 -1.955
La -3.525 -3.066 -2.697
La -1.060 -3.806 0.685
```